[1]
This record from Alexandria describes Ga2Bi2Sb after structural relaxation. The functional is PBE-GGA.

```
data_Ga2Bi2Sb
_space_group_name_H-M_alt 'I 4/m m m'
_space_group_IT_number 139
_space_group_name_Hall '-I 4 2'
_cell_length_a 5.037
_cell_length_b 5.037
_cell_length_c 11.053
_cell_angle_alpha 90.00
_cell_angle_beta 90.00
_cell_angle_gamma 90.00
loop_
_atom_site_label
_atom_site_fract_x
_atom_site_fract_y
_atom_site_fract_z
Ga1 0.000 0.000 0.110
Bi1 0.000 0.500 0.250
Sb1 0.000 0.000 0.500
```

Mass density = 8.04 g cm⁻³
Polymorph energy (0 for the lowest one) = 151 meV per atom
Total moment = 0.00 μB per cell
Formation energy without anion corrections = 0.269 eV per atom

=====

[2]
This record from Alexandria describes LiScCo4 after structural relaxation. The functional is PBE-GGA.

```
data_LiScCo4
_space_group_name_H-M_alt 'F -4 3 m'
_space_group_IT_number 216
_space_group_name_Hall 'F -4 2 3'
_cell_length_a 6.787
_cell_length_b 6.787
_cell_length_c 6.787
_cell_angle_alpha 90.00
_cell_angle_beta 90.00
_cell_angle_gamma 90.00
loop_
_atom_site_label
_atom_site_fract_x
_atom_site_fract_y
_atom_site_fract_z
Li1 0.000 0.000 0.000
Sc1 0.250 0.250 0.250
Co1 0.125 0.125 0.625
```

Mass density = 6.11 g cm⁻³
Total moment = 18.54 μB per cell
E = -149.77 eV for the cell shown

=====

[3]
This record from Alexandria describes HoTmPSe after structural relaxation. The functional is PBE-GGA.

```
data_HoTmPSe
_space_group_name_H-M_alt 'R 3 m'
_space_group_IT_number 160
_space_group_name_Hall 'R 3 -2"'
_cell_length_a 3.9283
_cell_length_b 3.9283
_cell_length_c 20.6886
_cell_angle_alpha 90.00
_cell_angle_beta 90.00
_cell_angle_gamma 120.00
loop_
_atom_site_label
_atom_site_fract_x
_atom_site_fract_y
_atom_site_fract_z
Ho1 0.0000 0.0000 0.0000
Tm1 0.0000 0.0000 0.8148
P1 0.0000 0.0000 0.4100
Se1 0.0000 0.0000 0.2388
```

Mass density = 8.00 g cm⁻³
Total moment = 0.00 μB per cell
Formation energy without anion corrections = -1.698 eV per atom

=====

[4]
This record from Alexandria describes Sr3Li4Pb2 after structural relaxation. The functional is PBE-GGA.

```
data_Sr3Li4Pb2
_space_group_name_H-M_alt 'C 1 2/m 1'
_space_group_IT_number 12
_cell_length_a 11.462
_cell_length_b 4.991
_cell_length_c 9.558
_cell_angle_alpha 90.00
_cell_angle_beta 103.60
_cell_angle_gamma 90.00
loop_
_space_group_symop_operation_xyz
'x,y,z'
'-x,-y,-z'
'-x,y,-z'
'x,-y,z'
'x+1/2,y+1/2,z'
'-x+1/2,-y+1/2,-z'
'-x+1/2,y+1/2,-z'
'x+1/2,-y+1/2,z'
loop_
_atom_site_label
_atom_site_fract_x
_atom_site_fract_y
_atom_site_fract_z
Sr1 0.000 0.000 0.000
Sr2 0.118 0.500 0.376
Li1 0.095 0.000 0.652
Li2 0.226 0.500 0.069
Pb1 0.207 0.500 0.763
```

Mass density = 4.41 g cm⁻³
Total moment = 0.00 μB per cell
E = -46.14 eV for the cell shown

=====

[5]
This record from Alexandria describes Er2CuTe4 after structural relaxation. The functional is PBE-GGA.

```
data_Er2CuTe4
_space_group_name_H-M_alt 'P 1 21/m 1'
_space_group_IT_number 11
_cell_length_a 7.510
_cell_length_b 6.216
_cell_length_c 8.569
_cell_angle_alpha 90.00
_cell_angle_beta 106.42
_cell_angle_gamma 90.00
loop_
_space_group_symop_operation_xyz
'x,y,z'
'-x,-y,-z'
'-x,y+1/2,-z'
'x,-y+1/2,z'
loop_
_atom_site_label
_atom_site_fract_x
_atom_site_fract_y
_atom_site_fract_z
Er1 0.217 0.250 0.428
Er2 0.251 0.250 0.939
Cu1 0.218 0.750 0.677
Te1 0.069 0.750 0.374
Te2 0.077 0.750 0.912
Te3 0.491 0.504 0.253
```

Mass density = 7.86 g cm⁻³
Total moment = 0.00 μB per cell
Formation energy without anion corrections = -0.910 eV per atom

=====

[6]
This record from Alexandria describes Nd3ThPd4 after structural relaxation. The functional is PBE-GGA.

```
data_Nd3ThPd4
_space_group_name_H-M_alt 'I m m 2'
_space_group_IT_number 44
_cell_length_a 5.644
_cell_length_b 9.800
_cell_length_c 7.795
_cell_angle_alpha 90.00
_cell_angle_beta 90.00
_cell_angle_gamma 90.00
loop_
_space_group_symop_operation_xyz
'x,y,z'
'-x,-y,z'
'-x,y,z'
'x,-y,z'
'x+1/2,y+1/2,z+1/2'
'-x+1/2,-y+1/2,z+1/2'
'-x+1/2,y+1/2,z+1/2'
'x+1/2,-y+1/2,z+1/2'
loop_
_atom_site_label
_atom_site_fract_x
_atom_site_fract_y
_atom_site_fract_z
Nd1 0.000 0.000 0.000
Nd2 0.000 0.261 0.659
Th1 0.000 0.500 0.130
Pd1 0.000 0.248 0.285
Pd2 0.242 0.000 0.334
```

Mass density = 8.40 g cm⁻³
Total moment = 0.00 μB per cell
E = -93.17 eV for the cell shown

=====

[7]
This record from Alexandria describes YZr2Zn after structural relaxation. The functional is PBE-GGA.

```
data_YZr2Zn
_space_group_name_H-M_alt 'P 4/m m m'
_space_group_IT_number 123
_space_group_name_Hall '-P 4 2'
_cell_length_a 5.145
_cell_length_b 5.145
_cell_length_c 3.395
_cell_angle_alpha 90.00
_cell_angle_beta 90.00
_cell_angle_gamma 90.00
loop_
_atom_site_label
_atom_site_fract_x
_atom_site_fract_y
_atom_site_fract_z
Y1 0.000 0.000 0.000
Zr1 0.000 0.500 0.500
Zn1 0.500 0.500 0.000
```

Mass density = 6.22 g cm⁻³
Total moment = 0.00 μB per cell
E = -24.24 eV for the cell shown

=====

[8]
This record from Alexandria describes CaIn7 after structural relaxation. The functional is PBE-GGA.

```
data_CaIn7
_space_group_name_H-M_alt 'F m -3 m'
_space_group_IT_number 225
_space_group_name_Hall '-F 4 2 3'
_cell_length_a 9.502
_cell_length_b 9.502
_cell_length_c 9.502
_cell_angle_alpha 90.00
_cell_angle_beta 90.00
_cell_angle_gamma 90.00
loop_
_atom_site_label
_atom_site_fract_x
_atom_site_fract_y
_atom_site_fract_z
Ca1 0.000 0.000 0.000
In1 0.000 0.000 0.500
In2 0.000 0.250 0.250
```

Mass density = 6.53 g cm⁻³
Total moment = 0.00 μB per cell
E = -89.47 eV for the cell shown